Density functional theory data (PBE) for a relaxed Ba6InPd2 crystal.

Cell and atoms, written as CIF:
```
data_Ba6InPd2
_chemical_formula_sum 'Ba12 In2 Pd4'
_space_group_name_H-M_alt 'P 1'
_space_group_IT_number 1
_cell_length_a 9.897
_cell_length_b 9.897
_cell_length_c 9.897
_cell_angle_alpha 104.74
_cell_angle_beta 109.80
_cell_angle_gamma 114.01
loop_
_space_group_symop_operation_xyz
'x,y,z'
loop_
_atom_site_label
_atom_site_fract_x
_atom_site_fract_y
_atom_site_fract_z
_atom_site_occupancy
Ba1 0.111 0.287 0.824 1
Ba2 0.538 0.713 0.824 1
Ba3 0.808 0.242 0.050 1
Ba4 0.192 0.758 0.950 1
Ba5 0.808 0.758 0.567 1
Ba6 0.682 0.019 0.337 1
Ba7 0.318 0.981 0.663 1
Ba8 0.318 0.655 0.337 1
Ba9 0.462 0.287 0.176 1
Ba10 0.889 0.713 0.176 1
Ba11 0.682 0.345 0.663 1
Ba12 0.192 0.242 0.433 1
In1 0.000 0.500 0.500 1
In2 0.000 0.000 0.000 1
Pd1 0.685 0.000 0.685 1
Pd2 0.500 0.620 0.120 1
Pd3 0.315 0.000 0.315 1
Pd4 0.500 0.380 0.880 1
```

The space group is Immm. The value obtained for the calculated formation energy is -35.01 kJ per mole of atoms.

=====

Density functional theory data (PBE) for a relaxed Ba2In12Pd7 crystal.

Cell and atoms, written as CIF:
```
data_Ba2In12Pd7
_chemical_formula_sum 'Ba2 In12 Pd7'
_space_group_name_H-M_alt 'P 1'
_space_group_IT_number 1
_cell_length_a 4.502
_cell_length_b 11.085
_cell_length_c 11.085
_cell_angle_alpha 120.00
_cell_angle_beta 90.00
_cell_angle_gamma 90.00
loop_
_space_group_symop_operation_xyz
'x,y,z'
loop_
_atom_site_label
_atom_site_fract_x
_atom_site_fract_y
_atom_site_fract_z
_atom_site_occupancy
In1 0.500 0.387 0.306 1
In2 0.000 0.045 0.516 1
In3 0.500 0.245 0.788 1
In4 0.500 0.212 0.457 1
In5 0.000 0.471 0.955 1
In6 0.000 0.270 0.073 1
In7 0.500 0.543 0.755 1
In8 0.000 0.927 0.197 1
In9 0.000 0.484 0.529 1
In10 0.000 0.803 0.730 1
In11 0.500 0.694 0.081 1
In12 0.500 0.919 0.613 1
Pd1 0.000 0.086 0.783 1
Pd2 0.000 0.697 0.914 1
Pd3 0.500 0.920 0.349 1
Pd4 0.500 0.429 0.080 1
Pd5 0.000 0.217 0.303 1
Pd6 0.000 0.333 0.667 1
Pd7 0.500 0.651 0.571 1
Ba1 0.000 0.667 0.333 1
Ba2 0.500 0.000 0.000 1
```

The space group is P-6. The value obtained for the calculated formation energy is -47.00 kJ per mole of atoms.

=====

Density functional theory data (PBE) for a relaxed Ba3In2Pd6 crystal.

Cell and atoms, written as CIF:
```
data_Ba3In2Pd6
_chemical_formula_sum 'Ba6 In4 Pd12'
_space_group_name_H-M_alt 'P 1'
_space_group_IT_number 1
_cell_length_a 8.905
_cell_length_b 8.905
_cell_length_c 8.905
_cell_angle_alpha 109.47
_cell_angle_beta 109.47
_cell_angle_gamma 109.47
loop_
_space_group_symop_operation_xyz
'x,y,z'
loop_
_atom_site_label
_atom_site_fract_x
_atom_site_fract_y
_atom_site_fract_z
_atom_site_occupancy
Pd1 0.346 0.673 0.673 1
Pd2 0.673 0.346 0.673 1
Pd3 0.327 0.673 0.000 1
Pd4 0.673 0.000 0.327 1
Pd5 0.327 0.654 0.327 1
Pd6 0.654 0.327 0.327 1
Pd7 0.327 0.327 0.654 1
Pd8 0.673 0.673 0.346 1
Pd9 0.000 0.327 0.673 1
Pd10 0.000 0.673 0.327 1
Pd11 0.673 0.327 0.000 1
Pd12 0.327 0.000 0.673 1
Ba1 0.303 0.000 0.303 1
Ba2 0.697 0.697 0.000 1
Ba3 0.697 0.000 0.697 1
Ba4 0.303 0.303 0.000 1
Ba5 0.000 0.697 0.697 1
Ba6 0.000 0.303 0.303 1
In1 0.000 0.000 0.500 1
In2 0.500 0.000 0.000 1
In3 0.000 0.500 0.000 1
In4 0.500 0.500 0.500 1
```

The space group is Im-3m. The value obtained for the calculated formation energy is -52.23 kJ per mole of atoms.

=====

Density functional theory data (PBE) for a relaxed Ba4InPd4 crystal.

Cell and atoms, written as CIF:
```
data_Ba4InPd4
_chemical_formula_sum 'Ba8 In2 Pd8'
_space_group_name_H-M_alt 'P 1'
_space_group_IT_number 1
_cell_length_a 6.428
_cell_length_b 9.489
_cell_length_c 9.489
_cell_angle_alpha 90.00
_cell_angle_beta 90.00
_cell_angle_gamma 90.00
loop_
_space_group_symop_operation_xyz
'x,y,z'
loop_
_atom_site_label
_atom_site_fract_x
_atom_site_fract_y
_atom_site_fract_z
_atom_site_occupancy
Ba1 0.608 0.815 0.035 1
Ba2 0.108 0.965 0.315 1
Ba3 0.108 0.535 0.185 1
Ba4 0.892 0.465 0.815 1
Ba5 0.392 0.315 0.535 1
Ba6 0.392 0.185 0.965 1
Ba7 0.608 0.685 0.465 1
Ba8 0.892 0.035 0.685 1
Pd1 0.593 0.015 0.371 1
Pd2 0.407 0.985 0.629 1
Pd3 0.593 0.485 0.129 1
Pd4 0.093 0.871 0.985 1
Pd5 0.093 0.629 0.515 1
Pd6 0.407 0.515 0.871 1
Pd7 0.907 0.371 0.485 1
Pd8 0.907 0.129 0.015 1
In1 0.750 0.250 0.250 1
In2 0.250 0.750 0.750 1
```

The space group is P4_2/n. The value obtained for the calculated formation energy is -46.53 kJ per mole of atoms.

=====

Density functional theory data (PBE) for a relaxed Ba3In7Pd4 crystal.

Cell and atoms, written as CIF:
```
data_Ba3In7Pd4
_chemical_formula_sum 'Ba3 In7 Pd4'
_space_group_name_H-M_alt 'P 1'
_space_group_IT_number 1
_cell_length_a 4.748
_cell_length_b 9.073
_cell_length_c 9.570
_cell_angle_alpha 67.94
_cell_angle_beta 75.64
_cell_angle_gamma 74.83
loop_
_space_group_symop_operation_xyz
'x,y,z'
loop_
_atom_site_label
_atom_site_fract_x
_atom_site_fract_y
_atom_site_fract_z
_atom_site_occupancy
In1 0.842 0.389 0.928 1
In2 0.158 0.611 0.072 1
In3 0.319 0.834 0.527 1
In4 0.000 0.000 0.000 1
In5 0.503 0.781 0.212 1
In6 0.497 0.219 0.788 1
In7 0.681 0.166 0.473 1
Pd1 0.881 0.896 0.342 1
Pd2 0.119 0.104 0.658 1
Pd3 0.339 0.536 0.786 1
Pd4 0.661 0.464 0.214 1
Ba1 0.692 0.815 0.801 1
Ba2 0.000 0.500 0.500 1
Ba3 0.308 0.185 0.199 1
```

The space group is C2/m. The value obtained for the calculated formation energy is -50.88 kJ per mole of atoms.

=====

Density functional theory data (PBE) for a relaxed BaIn2Pd crystal.

Cell and atoms, written as CIF:
```
data_BaIn2Pd
_chemical_formula_sum 'Ba1 In2 Pd1'
_space_group_name_H-M_alt 'P 1'
_space_group_IT_number 1
_cell_length_a 3.558
_cell_length_b 3.558
_cell_length_c 8.258
_cell_angle_alpha 90.00
_cell_angle_beta 90.00
_cell_angle_gamma 90.00
loop_
_space_group_symop_operation_xyz
'x,y,z'
loop_
_atom_site_label
_atom_site_fract_x
_atom_site_fract_y
_atom_site_fract_z
_atom_site_occupancy
Ba1 0.500 0.500 0.500 1
Pd1 0.500 0.500 0.000 1
In1 0.000 0.000 0.183 1
In2 0.000 0.000 0.817 1
```

The space group is P4/mmm. The value obtained for the calculated formation energy is -39.04 kJ per mole of atoms.

=====

Density functional theory data (PBE) for a relaxed Ba2InPd4 crystal.

Cell and atoms, written as CIF:
```
data_Ba2InPd4
_chemical_formula_sum 'Ba2 In1 Pd4'
_space_group_name_H-M_alt 'P 1'
_space_group_IT_number 1
_cell_length_a 5.122
_cell_length_b 5.122
_cell_length_c 8.651
_cell_angle_alpha 72.78
_cell_angle_beta 72.78
_cell_angle_gamma 90.00
loop_
_space_group_symop_operation_xyz
'x,y,z'
loop_
_atom_site_label
_atom_site_fract_x
_atom_site_fract_y
_atom_site_fract_z
_atom_site_occupancy
Pd1 0.000 0.500 0.000 1
Pd2 0.166 0.166 0.669 1
Pd3 0.500 0.000 0.000 1
Pd4 0.834 0.834 0.331 1
In1 0.000 0.000 0.000 1
Ba1 0.639 0.639 0.721 1
Ba2 0.361 0.361 0.279 1
```

The space group is I4/mmm. The value obtained for the calculated formation energy is -18.95 kJ per mole of atoms.

=====

Density functional theory data (PBE) for a relaxed Ba2In2Pd3 crystal.

Cell and atoms, written as CIF:
```
data_Ba2In2Pd3
_chemical_formula_sum 'Ba2 In2 Pd3'
_space_group_name_H-M_alt 'P 1'
_space_group_IT_number 1
_cell_length_a 4.312
_cell_length_b 6.727
_cell_length_c 7.612
_cell_angle_alpha 116.87
_cell_angle_beta 90.00
_cell_angle_gamma 108.69
loop_
_space_group_symop_operation_xyz
'x,y,z'
loop_
_atom_site_label
_atom_site_fract_x
_atom_site_fract_y
_atom_site_fract_z
_atom_site_occupancy
In1 0.161 0.322 0.281 1
In2 0.839 0.678 0.719 1
Pd1 0.593 0.186 0.431 1
Pd2 0.500 0.000 0.000 1
Pd3 0.407 0.814 0.569 1
Ba1 0.871 0.742 0.217 1
Ba2 0.129 0.258 0.783 1
```

The space group is C2/m. The value obtained for the calculated formation energy is -47.71 kJ per mole of atoms.

=====

Density functional theory data (PBE) for a relaxed Ba2In7Pd crystal.

Cell and atoms, written as CIF:
```
data_Ba2In7Pd
_chemical_formula_sum 'Ba2 In7 Pd1'
_space_group_name_H-M_alt 'P 1'
_space_group_IT_number 1
_cell_length_a 4.942
_cell_length_b 4.942
_cell_length_c 12.053
_cell_angle_alpha 90.00
_cell_angle_beta 90.00
_cell_angle_gamma 90.00
loop_
_space_group_symop_operation_xyz
'x,y,z'
loop_
_atom_site_label
_atom_site_fract_x
_atom_site_fract_y
_atom_site_fract_z
_atom_site_occupancy
In1 0.000 0.000 0.000 1
In2 0.000 0.500 0.642 1
In3 0.000 0.000 0.500 1
In4 0.500 0.000 0.118 1
In5 0.500 0.000 0.358 1
In6 0.500 0.500 0.500 1
In7 0.000 0.500 0.882 1
Ba1 0.000 0.500 0.239 1
Ba2 0.500 0.000 0.761 1
Pd1 0.500 0.500 0.000 1
```

The space group is P-4m2. The value obtained for the calculated formation energy is -37.90 kJ per mole of atoms.

=====

Density functional theory data (PBE) for a relaxed Ba8InPd2 crystal.

Cell and atoms, written as CIF:
```
data_Ba8InPd2
_chemical_formula_sum 'Ba8 In1 Pd2'
_space_group_name_H-M_alt 'P 1'
_space_group_IT_number 1
_cell_length_a 6.344
_cell_length_b 9.199
_cell_length_c 9.199
_cell_angle_alpha 109.94
_cell_angle_beta 97.43
_cell_angle_gamma 97.43
loop_
_space_group_symop_operation_xyz
'x,y,z'
loop_
_atom_site_label
_atom_site_fract_x
_atom_site_fract_y
_atom_site_fract_z
_atom_site_occupancy
Ba1 0.209 0.377 0.377 1
Ba2 0.588 0.326 0.060 1
Ba3 0.000 0.250 0.756 1
Ba4 0.411 0.945 0.679 1
Ba5 0.411 0.679 0.945 1
Ba6 0.792 0.631 0.631 1
Ba7 0.588 0.060 0.326 1
Ba8 0.000 0.756 0.250 1
In1 0.000 0.004 0.004 1
Pd1 0.500 0.689 0.317 1
Pd2 0.500 0.317 0.689 1
```

The space group is Cm. The value obtained for the calculated formation energy is -22.53 kJ per mole of atoms.

=====

Density functional theory data (PBE) for a relaxed BaIn2Pd6 crystal.

Cell and atoms, written as CIF:
```
data_BaIn2Pd6
_chemical_formula_sum 'Ba1 In2 Pd6'
_space_group_name_H-M_alt 'P 1'
_space_group_IT_number 1
_cell_length_a 4.453
_cell_length_b 7.197
_cell_length_c 7.197
_cell_angle_alpha 67.08
_cell_angle_beta 71.98
_cell_angle_gamma 71.98
loop_
_space_group_symop_operation_xyz
'x,y,z'
loop_
_atom_site_label
_atom_site_fract_x
_atom_site_fract_y
_atom_site_fract_z
_atom_site_occupancy
Pd1 0.742 0.426 0.090 1
Pd2 0.500 0.331 0.669 1
Pd3 0.500 0.669 0.331 1
Pd4 0.258 0.574 0.910 1
Pd5 0.258 0.910 0.574 1
Pd6 0.742 0.090 0.426 1
In1 0.857 0.643 0.643 1
In2 0.143 0.357 0.357 1
Ba1 0.000 0.000 0.000 1
```

The space group is Immm. The value obtained for the calculated formation energy is -25.58 kJ per mole of atoms.

=====

Density functional theory data (PBE) for a relaxed Ba2In2Pd crystal.

Cell and atoms, written as CIF:
```
data_Ba2In2Pd
_chemical_formula_sum 'Ba4 In4 Pd2'
_space_group_name_H-M_alt 'P 1'
_space_group_IT_number 1
_cell_length_a 4.555
_cell_length_b 6.802
_cell_length_c 11.872
_cell_angle_alpha 92.25
_cell_angle_beta 78.94
_cell_angle_gamma 70.44
loop_
_space_group_symop_operation_xyz
'x,y,z'
loop_
_atom_site_label
_atom_site_fract_x
_atom_site_fract_y
_atom_site_fract_z
_atom_site_occupancy
In1 0.637 0.843 0.883 1
In2 0.363 0.157 0.117 1
In3 0.138 0.167 0.556 1
In4 0.862 0.833 0.444 1
Pd1 0.638 0.049 0.675 1
Pd2 0.362 0.951 0.325 1
Ba1 0.929 0.263 0.878 1
Ba2 0.350 0.641 0.659 1
Ba3 0.071 0.737 0.122 1
Ba4 0.650 0.359 0.341 1
```

The space group is C2/m. The value obtained for the calculated formation energy is -47.92 kJ per mole of atoms. The excess energy over the best structure of this formula in the dataset comes out at 0 meV per atom.

=====

| no. | theoretical density (kg/m3) |
| --- | --- |
| 1 | 5159 |
| 2 | 8311 |
| 3 | 7821 |
| 4 | 6254 |
| 5 | 7497 |
| 6 | 7518 |
| 7 | 6569 |
| 8 | 7441 |
| 9 | 6684 |
| 10 | 4817 |
| 11 | 8463 |
| 12 | 6000 |